Entry 1:
The following is a DFT calculation (PBE) of a geometry-optimized Pu2ScAgTe5 structure.

Cell lengths 9.5796, 9.5796, 13.0223 Å; angles 90.00, 90.00, 154.28 degrees
Closest atoms and distances in Å follow each position.
Positions (direct):
Pu (0.1131, 0.8869, 0.5000)  8 Te 3.25-3.37
Pu (0.1262, 0.8738, 0.1214)  8 Te 3.17-3.36
Pu (0.8738, 0.1262, 0.6214)  8 Te 3.17-3.36
Pu (0.8869, 0.1131, 0.0000)  8 Te 3.25-3.37
Sc (0.1929, 0.8071, 0.8249)  6 Te 2.91-3.04, 2 Ag 3.20
Sc (0.8071, 0.1929, 0.3249)  6 Te 2.91-3.04, 2 Ag 3.20
Ag (0.4290, 0.5710, 0.2688)  4 Te 2.71-2.78
Ag (0.5710, 0.4290, 0.7688)  4 Te 2.71-2.78
Te (0.0443, 0.9557, 0.8914)  2 Ag 2.71, 1 Sc 2.91
Te (0.2878, 0.7122, 0.4793)  2 Sc 2.95, 3 Pu 3.25-3.27
Te (0.3017, 0.6983, 0.1590)  1 Ag 2.78, 2 Sc 3.04
Te (0.3529, 0.6471, 0.8155)  1 Sc 2.99, 4 Pu 3.27-3.33
Te (0.4974, 0.5026, 0.5883)  1 Ag 2.72
Te (0.5026, 0.4974, 0.0883)  1 Ag 2.72
Te (0.6471, 0.3529, 0.3155)  1 Sc 2.99, 4 Pu 3.27-3.33
Te (0.6983, 0.3017, 0.6590)  1 Ag 2.78, 2 Sc 3.04
Te (0.7122, 0.2878, 0.9793)  2 Sc 2.95, 3 Pu 3.25-3.27
Te (0.9557, 0.0443, 0.3914)  2 Ag 2.71, 1 Sc 2.91

Output
- SG: No. 36
- D(E_F): 53.767 states/eV per cell
- Formation energy (no corrections): -0.860 eV per atom

Entry 2:
The following is a DFT calculation (PBE) of a geometry-optimized PuSc2Ag3Te6 structure.

Cell lengths 7.4884, 7.4884, 7.3360 Å; angles 99.62, 99.62, 120.14 degrees
Closest atoms and distances in Å follow each position.
Positions (direct):
Pu (0.0000, 0.0000, 0.0000)  6 Te 3.13
Sc (0.3320, 0.6680, 0.0000)  6 Te 2.96-2.99
Sc (0.6680, 0.3320, 0.0000)  6 Te 2.96-2.99
Ag (0.1584, 0.8416, 0.5000)  6 Te 3.03-3.09
Ag (0.5000, 0.5000, 0.5000)  6 Te 2.93-3.11
Ag (0.8416, 0.1584, 0.5000)  6 Te 3.03-3.09
Te (0.0807, 0.4315, 0.2464)  2 Sc 2.96-2.97, 3 Ag 3.03-3.11, 1 Pu 3.13
Te (0.2690, 0.2690, 0.7528)  3 Ag 2.93-3.03, 2 Sc 2.99, 1 Pu 3.13
Te (0.4315, 0.0807, 0.2464)  2 Sc 2.96-2.97, 3 Ag 3.03-3.11, 1 Pu 3.13
Te (0.5685, 0.9193, 0.7536)  2 Sc 2.96-2.97, 3 Ag 3.03-3.11, 1 Pu 3.13
Te (0.7310, 0.7310, 0.2472)  3 Ag 2.93-3.03, 2 Sc 2.99, 1 Pu 3.13
Te (0.9193, 0.5685, 0.7536)  2 Sc 2.96-2.97, 3 Ag 3.03-3.11, 1 Pu 3.13

Output
- SG: No. 12
- D(E_F): 15.219 states/eV per cell
- Formation energy (no corrections): -0.662 eV per atom

Entry 3:
The following is a DFT calculation (PBE) of a geometry-optimized Pu3AgSe6 structure.

Cell lengths 8.7782, 8.7782, 6.8532 Å; angles 90.00, 90.00, 101.26 degrees
Closest atoms and distances in Å follow each position.
Positions (direct):
Pu (0.1043, 0.8957, 0.5000)  7 Se 2.86-2.96
Pu (0.2209, 0.4218, 0.4033)  7 Se 2.84-3.03
Pu (0.4218, 0.2209, 0.9033)  7 Se 2.84-3.03
Pu (0.5782, 0.7791, 0.4033)  7 Se 2.84-3.03
Pu (0.7791, 0.5782, 0.9033)  7 Se 2.84-3.03
Pu (0.8957, 0.1043, 0.0000)  7 Se 2.86-2.96
Ag (0.2970, 0.7030, 0.8538)  4 Se 2.64-2.69
Ag (0.7030, 0.2970, 0.3538)  4 Se 2.64-2.69
Se (0.0406, 0.5870, 0.6557)  1 Ag 2.66, 3 Pu 2.84-2.92
Se (0.1265, 0.1967, 0.7035)  4 Pu 2.86-2.96
Se (0.1967, 0.1265, 0.2035)  4 Pu 2.86-2.96
Se (0.2732, 0.7268, 0.2362)  1 Ag 2.64, 3 Pu 2.87-2.92
Se (0.4130, 0.9594, 0.6557)  1 Ag 2.66, 3 Pu 2.84-2.92
Se (0.4752, 0.5248, 0.6808)  1 Ag 2.69, 2 Pu 2.94
Se (0.5248, 0.4752, 0.1808)  1 Ag 2.69, 2 Pu 2.94
Se (0.5870, 0.0406, 0.1557)  1 Ag 2.66, 3 Pu 2.84-2.92
Se (0.7268, 0.2732, 0.7362)  1 Ag 2.64, 3 Pu 2.87-2.92
Se (0.8033, 0.8735, 0.7035)  4 Pu 2.86-2.96
Se (0.8735, 0.8033, 0.2035)  4 Pu 2.86-2.96
Se (0.9594, 0.4130, 0.1557)  1 Ag 2.66, 3 Pu 2.84-2.92

Output
- SG: No. 36
- D(E_F): 47.299 states/eV per cell
- Formation energy (no corrections): -1.129 eV per atom

Entry 4:
The following is a DFT calculation (PBE) of a geometry-optimized PuAg3Se4 structure.

Cell lengths 6.9368, 6.9368, 6.9368 Å; angles 131.72, 131.72, 70.68 degrees
Closest atoms and distances in Å follow each position.
Positions (direct):
Pu (0.0000, 0.0000, 0.0000)  6 Se 2.84
Ag (0.2500, 0.7500, 0.5000)  6 Se 2.83-2.84
Ag (0.5000, 0.5000, 0.0000)  6 Se 2.82-2.84
Ag (0.7500, 0.2500, 0.5000)  6 Se 2.83-2.84
Se (0.0000, 0.5000, 0.5000)  4 Ag 2.83-2.84, 2 Pu 2.84
Se (0.2509, 0.2509, 0.0000)  5 Ag 2.82-2.84, 1 Pu 2.84
Se (0.5000, 0.0000, 0.5000)  4 Ag 2.83-2.84, 2 Pu 2.84
Se (0.7491, 0.7491, 0.0000)  5 Ag 2.82-2.84, 1 Pu 2.84

Output
- Energy relative to the lowest polymorph listed for this composition: 0.000 eV/atom
- SG: No. 139
- D(E_F): 10.698 states/eV per cell
- Formation energy (no corrections): -0.482 eV per atom

Entry 5:
The following is a DFT calculation (PBE) of a geometry-optimized Pu3Ag4Se8 structure.

Cell lengths 8.0042, 8.0042, 7.8037 Å; angles 117.78, 117.78, 91.67 degrees
Closest atoms and distances in Å follow each position.
Positions (direct):
Pu (0.0000, 0.0000, 0.0000)  6 Se 2.81-2.87
Pu (0.0000, 0.5000, 0.5000)  6 Se 2.79-2.91
Pu (0.5000, 0.0000, 0.5000)  6 Se 2.79-2.91
Ag (0.0000, 0.0000, 0.5000)  6 Se 2.72-2.92
Ag (0.0000, 0.5000, 0.0000)  6 Se 2.79-2.91
Ag (0.5000, 0.0000, 0.0000)  6 Se 2.79-2.91
Ag (0.5000, 0.5000, 0.0000)  6 Se 2.77-2.99
Se (0.2369, 0.2369, 0.9681)  4 Ag 2.72-2.88, 1 Pu 2.81
Se (0.2497, 0.7503, 0.0000)  3 Ag 2.79-2.87, 3 Pu 2.87-2.91
Se (0.2538, 0.2538, 0.4848)  3 Pu 2.83-2.87, 2 Ag 2.91-2.99
Se (0.2541, 0.7459, 0.5000)  2 Pu 2.79, 3 Ag 2.91-2.92
Se (0.7459, 0.2541, 0.5000)  2 Pu 2.79, 3 Ag 2.91-2.92
Se (0.7462, 0.7462, 0.5152)  3 Pu 2.83-2.87, 2 Ag 2.91-2.99
Se (0.7503, 0.2497, 0.0000)  3 Ag 2.79-2.87, 3 Pu 2.87-2.91
Se (0.7631, 0.7631, 0.0319)  4 Ag 2.72-2.88, 1 Pu 2.81

Output
- SG: No. 12
- D(E_F): 29.217 states/eV per cell
- Formation energy (no corrections): -0.713 eV per atom

Entry 6:
The following is a DFT calculation (PBE) of a geometry-optimized PuAg2Se structure.

Cell lengths 11.5033, 11.5033, 11.5033 Å; angles 14.67, 14.67, 14.67 degrees
Closest atoms and distances in Å follow each position.
Positions (direct):
Pu (0.0000, 0.0000, 0.0000)  6 Pu 2.94, 2 Ag 3.01
Ag (0.0882, 0.0882, 0.0882)  6 Ag 2.94, 1 Pu 3.01, 3 Se 3.17
Ag (0.9118, 0.9118, 0.9118)  6 Ag 2.94, 1 Pu 3.01, 3 Se 3.17
Se (0.5000, 0.5000, 0.5000)  6 Se 2.94, 6 Ag 3.17

Output
- SG: No. 166
- D(E_F): 7.302 states/eV per cell
- Formation energy (no corrections): 0.336 eV per atom

> What is the D(E_F) in the fifth record?

29.217 states/eV per cell

What did the fifth record say?
The following is a DFT calculation (PBE) of a geometry-optimized Pu3Ag4Se8 structure.

Cell lengths 8.0042, 8.0042, 7.8037 Å; angles 117.78, 117.78, 91.67 degrees
Closest atoms and distances in Å follow each position.
Positions (direct):
Pu (0.0000, 0.0000, 0.0000)  6 Se 2.81-2.87
Pu (0.0000, 0.5000, 0.5000)  6 Se 2.79-2.91
Pu (0.5000, 0.0000, 0.5000)  6 Se 2.79-2.91
Ag (0.0000, 0.0000, 0.5000)  6 Se 2.72-2.92
Ag (0.0000, 0.5000, 0.0000)  6 Se 2.79-2.91
Ag (0.5000, 0.0000, 0.0000)  6 Se 2.79-2.91
Ag (0.5000, 0.5000, 0.0000)  6 Se 2.77-2.99
Se (0.2369, 0.2369, 0.9681)  4 Ag 2.72-2.88, 1 Pu 2.81
Se (0.2497, 0.7503, 0.0000)  3 Ag 2.79-2.87, 3 Pu 2.87-2.91
Se (0.2538, 0.2538, 0.4848)  3 Pu 2.83-2.87, 2 Ag 2.91-2.99
Se (0.2541, 0.7459, 0.5000)  2 Pu 2.79, 3 Ag 2.91-2.92
Se (0.7459, 0.2541, 0.5000)  2 Pu 2.79, 3 Ag 2.91-2.92
Se (0.7462, 0.7462, 0.5152)  3 Pu 2.83-2.87, 2 Ag 2.91-2.99
Se (0.7503, 0.2497, 0.0000)  3 Ag 2.79-2.87, 3 Pu 2.87-2.91
Se (0.7631, 0.7631, 0.0319)  4 Ag 2.72-2.88, 1 Pu 2.81

Output
- SG: No. 12
- D(E_F): 29.217 states/eV per cell
- Formation energy (no corrections): -0.713 eV per atom

> Look up the D(E_F) of the fourth one.

10.698 states/eV per cell

> The lowest D(E_F) belongs to which entry?

PuAg2Se